No. 1
DFT (GGA-PBE) results for a relaxed LiPuCd4 crystal.

Cell lengths 3.048, 5.037, 8.889 Å; angles 90.00, 89.52, 90.00 degrees
Last column: magnetic moment on the atom in μB.
Element x y z (fractional)
Li: 0.500 0.500 0.500  0.00
Pu: 0.500 0.000 0.000  5.60
Cd: 0.013 0.000 0.659  0.00
Cd: 0.004 0.500 0.823  0.00
Cd: 0.987 0.000 0.341  0.00
Cd: 0.996 0.500 0.177  0.00

formation enthalpy at 0 K: -0.14 eV per atom
spin magnetization: 5.88 μB/f.u.
uncorrected energy: -20.73 eV per formula unit
SG: P2/m, No. 10


No. 2
DFT (GGA-PBE) results for a relaxed LiPuCd crystal.

Cell lengths 2.963, 5.138, 5.138 Å; angles 120.00, 90.00, 90.00 degrees
Last column: magnetic moment on the atom in μB.
Element x y z (fractional)
Cd: 0.164 0.000 0.000  -0.01
Li: 0.171 0.667 0.333  0.01
Pu: 0.665 0.333 0.667  5.63

formation enthalpy at 0 K: 0.01 eV per atom
spin magnetization: 5.91 μB/f.u.
uncorrected energy: -17.12 eV per formula unit
SG: P3m1, No. 156


No. 3
DFT (GGA-PBE) results for a relaxed LiPuCd4 crystal.

Cell lengths 5.894, 5.894, 5.894 Å; angles 60.00, 60.00, 60.00 degrees
Last column: magnetic moment on the atom in μB.
Element x y z (fractional)
Cd: 0.625 0.625 0.126  0.02
Cd: 0.625 0.126 0.625  0.02
Cd: 0.625 0.625 0.625  0.02
Cd: 0.126 0.625 0.625  0.02
Li: 0.250 0.250 0.250  0.00
Pu: 0.000 0.000 0.000  5.61

formation enthalpy at 0 K: -0.02 eV per atom
spin magnetization: 6.20 μB/f.u.
uncorrected energy: -20.06 eV per formula unit
SG: F-43m, No. 216


No. 4
DFT (GGA-PBE) results for a relaxed LiPuCd crystal.

Cell lengths 3.104, 3.104, 7.228 Å; angles 102.40, 102.40, 90.00 degrees
Last column: magnetic moment on the atom in μB.
Element x y z (fractional)
Li: 0.316 0.316 0.631  0.02
Pu: 0.000 0.000 0.001  5.78
Cd: 0.684 0.684 0.368  -0.01

formation enthalpy at 0 K: 0.02 eV per atom
spin magnetization: 6.23 μB/f.u.
uncorrected energy: -17.09 eV per formula unit
SG: I4mm, No. 107


No. 5
DFT (GGA-PBE) results for a relaxed LiPuCd crystal.

Cell lengths 3.436, 5.115, 10.549 Å; angles 46.93, 90.00, 109.62 degrees
Last column: magnetic moment on the atom in μB.
Element x y z (fractional)
Li: 0.917 0.833 0.914  0.00
Li: 0.083 0.167 0.086  0.00
Pu: 0.355 0.710 0.464  1.57
Pu: 0.645 0.290 0.536  1.57
Cd: 0.726 0.453 0.796  0.01
Cd: 0.274 0.547 0.204  0.01

formation enthalpy at 0 K: 0.08 eV per atom
spin magnetization: 1.65 μB/f.u.
uncorrected energy: -16.91 eV per formula unit
SG: C2/m, No. 12


No. 6
DFT (GGA-PBE) results for a relaxed Li2PuCd crystal.

Cell lengths 2.990, 2.990, 11.090 Å; angles 82.25, 82.25, 60.00 degrees
Last column: magnetic moment on the atom in μB.
Element x y z (fractional)
Cd: 0.500 0.500 0.500  0.01
Li: 0.092 0.092 0.724  -0.01
Li: 0.908 0.908 0.276  -0.01
Pu: 0.000 0.000 0.000  4.93

formation enthalpy at 0 K: 0.16 eV per atom
spin magnetization: 5.05 μB/f.u.
uncorrected energy: -18.43 eV per formula unit
SG: R-3m, No. 166


No. 7
DFT (GGA-PBE) results for a relaxed LiPuCdRu crystal.

Cell lengths 4.752, 4.752, 4.752 Å; angles 60.00, 60.00, 60.00 degrees
Last column: magnetic moment on the atom in μB.
Element x y z (fractional)
Ru: 0.500 0.500 0.500  -0.47
Cd: 0.250 0.250 0.250  0.02
Li: 0.000 0.000 0.000  0.06
Pu: 0.750 0.750 0.750  5.23

formation enthalpy at 0 K: 0.08 eV per atom
spin magnetization: 5.26 μB/f.u.
uncorrected energy: -26.11 eV per formula unit
SG: F-43m, No. 216


No. 8
DFT (GGA-PBE) results for a relaxed Li2PuCdS4 crystal.

Cell lengths 3.904, 6.564, 6.585 Å; angles 110.01, 90.00, 90.00 degrees
Last column: magnetic moment on the atom in μB.
Element x y z (fractional)
Li: 0.500 0.000 0.500  0.01
Li: 0.000 0.500 0.500  0.00
Pu: 0.500 0.500 0.000  -4.55
Cd: 0.000 0.000 0.000  0.00
S: 0.500 0.252 0.248  0.10
S: 0.500 0.748 0.752  0.10
S: 0.000 0.261 0.744  0.12
S: 0.000 0.739 0.256  0.12

spin magnetization: 4.00 μB/f.u.
formation energy from raw total energies: -1151 meV/atom
uncorrected energy: -44.79 eV per formula unit
SG: P2/m, No. 10


No. 9
DFT (GGA-PBE) results for a relaxed LiPuCdSb crystal.

Cell lengths 5.184, 5.184, 5.184 Å; angles 60.00, 60.00, 60.00 degrees
Last column: magnetic moment on the atom in μB.
Element x y z (fractional)
Sb: 0.750 0.750 0.750  -0.05
Cd: 0.250 0.250 0.250  0.04
Li: 0.000 0.000 0.000  0.02
Pu: 0.500 0.500 0.500  5.54

spin magnetization: 5.98 μB/f.u.
formation energy from raw total energies: -334 meV/atom
uncorrected energy: -22.62 eV per formula unit
SG: F-43m, No. 216


No. 10
DFT (GGA-PBE) results for a relaxed LiPuCdSi crystal.

Cell lengths 4.800, 4.800, 4.800 Å; angles 60.00, 60.00, 60.00 degrees
Last column: magnetic moment on the atom in μB.
Element x y z (fractional)
Si: 0.250 0.250 0.250  -0.01
Cd: 0.500 0.500 0.500  0.02
Li: 0.750 0.750 0.750  0.07
Pu: 0.000 0.000 0.000  5.45

spin magnetization: 5.95 μB/f.u.
formation energy from raw total energies: -65 meV/atom
uncorrected energy: -22.84 eV per formula unit
SG: F-43m, No. 216


No. 11
DFT (GGA-PBE) results for a relaxed LiPuCdSn crystal.

Cell lengths 5.144, 5.144, 5.144 Å; angles 60.00, 60.00, 60.00 degrees
Last column: magnetic moment on the atom in μB.
Element x y z (fractional)
Cd: 0.750 0.750 0.750  0.02
Li: 0.000 0.000 0.000  0.00
Sn: 0.250 0.250 0.250  -0.06
Pu: 0.500 0.500 0.500  5.33

formation enthalpy at 0 K: -0.22 eV per atom
spin magnetization: 5.48 μB/f.u.
uncorrected energy: -22.03 eV per formula unit
SG: F-43m, No. 216


No. 12
DFT (GGA-PBE) results for a relaxed RbLi3Cd crystal.

Cell lengths 5.641, 5.641, 5.641 Å; angles 90.00, 90.00, 90.00 degrees
Element x y z (fractional)
Li: 0.000 0.500 0.000
Li: 0.000 0.000 0.500
Li: 0.500 0.000 0.000
Rb: 0.000 0.000 0.000
Cd: 0.500 0.500 0.500

formation enthalpy at 0 K: 0.75 eV per atom
spin magnetization: 0.00 μB/f.u.
uncorrected energy: -3.88 eV per formula unit
SG: Pm-3m, No. 221


- Among the records above, which one has the lowest uncorrected energy?
  Li2PuCdS4